{
  "formula": "CsIr3S",
  "functional": "PBE",
  "state": "relaxed",
  "density_kg_m3": 12290,
  "dft_energy_ha_per_atom": -0.191,
  "sg": "Pm-3m, No. 221",
  "dos_at_fermi_per_ev_cell": 6.3,
  "de_polymorph_mev_per_atom": 0,
  "e_form_raw_ev_per_fu": 5.609,
  "cell": [[4.645, 0.000, 0.000], [0.000, 4.645, 0.000], [0.000, 0.000, 4.645]],
  "species": ["Cs", "Ir", "Ir", "Ir", "S"],
  "frac_coords": [[0.000, 0.000, 0.000], [0.000, 0.500, 0.500], [0.500, 0.000, 0.500], [0.500, 0.500, 0.000], [0.500, 0.500, 0.500]]
}